Na2NpMnTe4, optimized geometry, DFT PBE; E_tot = -42.325 eV per cell; formation energy without anion corrections = -0.6263 eV/atom; N(E_F) = 9.89 states/eV/cell; calculated volume = 30.34 Å³ per atom
1.0
-4.313 0.262 0.116
-0.088 -4.191 6.221
0.519 7.599 2.092
Na Te Np Mn
2 4 1 1
direct
0.500 0.000 0.500 Na
0.000 0.500 0.500 Na
0.500 0.252 0.231 Te
0.000 0.279 0.789 Te
0.500 0.748 0.769 Te
0.000 0.721 0.211 Te
0.000 0.000 0.000 Np
0.500 0.500 0.000 Mn